Record 1
VASP calculation (PBE) on a geometry-optimized SrLiCd structure.

Cell lengths 6.2873, 6.2873, 6.2873 Å; angles 143.67, 143.68, 52.32 degrees
Positions (direct):
Li1 0.6335 0.6335 0.0000
Cd1 0.0271 0.0271 0.0000
Sr1 0.3394 0.3394 0.0000

Computed properties:
- total moment (Bohr magnetons per cell) = 0.00
- total energy (eV/atom) = -1.6931
- energy of formation from the pure elements (eV per atom) = -0.19
- energy above the most stable polymorph in this dataset (eV/atom) = 0.031
- V (Å³ per atom) = 28.90
- crystal system = tetragonal

=====

Record 2
VASP calculation (PBE) on a geometry-optimized Mn4CrCo3 structure.

Cell lengths 2.8890, 2.8890, 11.3044 Å; angles 90.00, 90.00, 90.00 degrees
Last column: magnetic moment on the atom in μB.
Positions (direct):
Mn1 0.0000 0.0000 0.1251  2.60
Mn2 0.0000 0.0000 0.3756  2.83
Cr1 0.5000 0.5000 0.0000  -1.85
Co1 0.5000 0.5000 0.5000  1.18
Co2 0.5000 0.5000 0.2505  1.46
Mn3 0.0000 0.0000 0.6244  2.83
Mn4 0.0000 0.0000 0.8749  2.60
Co3 0.5000 0.5000 0.7495  1.46

Computed properties:
- total moment (Bohr magnetons per cell) = 13.12
- total energy (eV/atom) = -8.4626
- energy of formation from the pure elements (eV per atom) = -0.01
- V (Å³ per atom) = 11.79
- crystal system = tetragonal

=====

Record 3
VASP calculation (PBE) on a geometry-optimized Na2ZnCd2Au5 structure.

Cell lengths 3.5616, 10.9221, 10.9221 Å; angles 90.00, 90.00, 90.00 degrees
Positions (direct):
Au1 0.5000 0.6809 0.4470
Au2 0.5000 0.0000 0.5000
Cd1 0.0000 0.6383 0.8617
Au3 0.5000 0.8191 0.9470
Au4 0.5000 0.9470 0.1809
Cd2 0.0000 0.3617 0.1383
Au5 0.5000 0.0530 0.8191
Au6 0.5000 0.4470 0.3191
Au7 0.5000 0.5000 0.0000
Au8 0.5000 0.5530 0.6809
Cd3 0.0000 0.8617 0.3617
Zn1 0.0000 0.5000 0.5000
Na1 0.0000 0.8333 0.6667
Cd4 0.0000 0.1383 0.6383
Na2 0.0000 0.3333 0.8333
Zn2 0.0000 0.0000 0.0000
Na3 0.0000 0.1667 0.3333
Na4 0.0000 0.6667 0.1667
Au9 0.5000 0.1809 0.0530
Au10 0.5000 0.3191 0.5530

Computed properties:
- total moment (Bohr magnetons per cell) = 0.00
- total energy (eV/atom) = -2.4203
- energy of formation from the pure elements (eV per atom) = -0.21
- V (Å³ per atom) = 21.24
- crystal system = tetragonal

=====

Record 4
VASP calculation (PBE) on a geometry-optimized Ac5PrAu6 structure.

Cell lengths 5.5168, 7.7129, 9.5343 Å; angles 66.15, 73.11, 90.00 degrees
Positions (direct):
Ac1 0.0000 0.5000 0.0000
Au1 0.5000 0.7601 0.0000
Ac2 0.3341 0.3337 0.3326
Pr1 0.0000 0.0000 0.0000
Au2 0.1627 0.9185 0.6745
Au3 0.8373 0.0815 0.3255
Ac3 0.6666 0.1664 0.6671
Au4 0.5000 0.2399 0.0000
Ac4 0.3334 0.8336 0.3329
Au5 0.8373 0.5930 0.3255
Au6 0.1627 0.4070 0.6745
Ac5 0.6659 0.6663 0.6674

Computed properties:
- total moment (Bohr magnetons per cell) = 0.00
- total energy (eV/atom) = -4.5124
- energy of formation from the pure elements (eV per atom) = -0.76
- V (Å³ per atom) = 29.32
- crystal system = monoclinic

=====

Record 5
VASP calculation (PBE) on a geometry-optimized HPdSe structure.

Cell lengths 3.6557, 3.6557, 4.4785 Å; angles 114.09, 114.09, 90.00 degrees
Positions (direct):
Se1 0.0526 0.0526 0.1052
Pd1 0.5222 0.5222 0.0444
H1 0.2752 0.2752 0.5504

Computed properties:
- total moment (Bohr magnetons per cell) = 0.00
- total energy (eV/atom) = -4.0459
- energy above the most stable polymorph in this dataset (eV/atom) = 0.090
- V (Å³ per atom) = 16.29
- crystal system = tetragonal

=====

Record 6
VASP calculation (PBE) on a geometry-optimized TeRuSe2 structure.

Cell lengths 6.8206, 6.8206, 6.5355 Å; angles 58.55, 58.55, 90.00 degrees
Positions (direct):
Se1 0.8750 0.8044 0.7500
Se2 0.5544 0.1250 0.2500
Te1 0.7500 0.2500 0.5000
Ru1 0.5000 0.5000 0.0000
Se3 0.1956 0.6250 0.2500
Ru2 0.2500 0.7500 0.5000
Te2 0.0000 0.0000 0.0000
Se4 0.3750 0.4456 0.7500

Computed properties:
- total moment (Bohr magnetons per cell) = 0.00
- total energy (eV/atom) = -4.6465
- V (Å³ per atom) = 25.65
- crystal system = tetragonal
- formation energy (no corrections) (meV/atom) = 200.1